#A
VASP calculation (PBE) on crystalline NaYPb at its relaxed geometry.

abc: 5.1210 5.1210 7.2908
angles: 90.00 90.00 120.00
Closest atoms and distances in Å follow each position.
Fractional coordinates of all 6 atoms:
Na  0.3333  0.6667  0.2500  3 Pb 2.96
Na  0.6667  0.3333  0.7500  3 Pb 2.96
Y  0.0000  0.0000  0.0000  6 Na 3.47, 6 Pb 3.47, 2 Y 3.65
Y  0.0000  0.0000  0.5000  6 Pb 3.47, 6 Na 3.47, 2 Y 3.65
Pb  0.3333  0.6667  0.7500  3 Na 2.96
Pb  0.6667  0.3333  0.2500  3 Na 2.96

## Properties
volume	27.614	Å³ per atom


#B
VASP calculation (PBE) on crystalline NaYPb at its relaxed geometry.

abc: 5.1907 5.1907 5.1907
angles: 60.00 60.00 60.00
Closest atoms and distances in Å follow each position.
Fractional coordinates of all 3 atoms:
Na  0.0000  0.0000  0.0000  4 Y 3.18
Y  0.2500  0.2500  0.2500  4 Pb 3.18, 4 Na 3.18
Pb  0.5000  0.5000  0.5000  4 Y 3.18

## Properties
volume	32.964	Å³ per atom


#C
VASP calculation (PBE) on crystalline NaYPb at its relaxed geometry.

abc: 5.1853 5.1853 5.1853
angles: 60.00 60.00 60.00
Closest atoms and distances in Å follow each position.
Fractional coordinates of all 3 atoms:
Na  0.0000  0.0000  0.0000  4 Pb 3.18
Y  0.5000  0.5000  0.5000  4 Pb 3.18
Pb  0.2500  0.2500  0.2500  4 Na 3.18, 4 Y 3.18

## Properties
volume	32.862	Å³ per atom


#D
VASP calculation (PBE) on crystalline NaYPb at its relaxed geometry.

abc: 4.3804 7.9331 7.9331
angles: 38.69 90.00 90.00
Closest atoms and distances in Å follow each position.
Fractional coordinates of all 6 atoms:
Na  0.0000  0.0000  0.0000  2 Na 3.30, 6 Pb 3.43-3.46, 4 Y 3.43-3.64
Na  0.5000  0.1646  0.1646  2 Na 3.30, 6 Y 3.42-3.56, 4 Pb 3.48-3.52
Y  0.0000  0.3523  0.3523  6 Pb 3.24-3.45, 4 Na 3.43-3.56
Y  0.0000  0.6687  0.6687  4 Pb 3.17-3.21, 4 Na 3.42
Pb  0.5000  0.5120  0.5120  4 Y 3.21-3.24, 6 Na 3.43-3.48
Pb  0.5000  0.8215  0.8215  6 Y 3.17-3.45, 4 Na 3.46-3.52

## Properties
volume	28.721	Å³ per atom


#A is favored, and the nearest alternative lies 5.3 kJ/mol of atoms above it.


#A
VASP calculation (PBE) on crystalline NaYPb at its relaxed geometry.

abc: 7.6779 4.7219 9.5315
angles: 90.00 90.00 90.00
Closest atoms and distances in Å follow each position.
Fractional coordinates of all 12 atoms:
Na  0.1332  0.2500  0.0475  4 Pb 3.08-3.26, 2 Na 3.25
Na  0.3668  0.7500  0.5475  4 Pb 3.08-3.26, 2 Na 3.25
Na  0.6332  0.2500  0.4525  4 Pb 3.08-3.26, 2 Na 3.25
Na  0.8668  0.7500  0.9525  4 Pb 3.08-3.26, 2 Na 3.25
Y  0.0535  0.2500  0.6749  5 Pb 3.20-3.42, 2 Na 3.58
Y  0.4465  0.7500  0.1749  5 Pb 3.20-3.42, 2 Na 3.58
Y  0.5535  0.2500  0.8251  5 Pb 3.20-3.42, 2 Na 3.58
Y  0.9465  0.7500  0.3251  5 Pb 3.20-3.42, 2 Na 3.58
Pb  0.2239  0.2500  0.3622  4 Na 3.08-3.26, 5 Y 3.20-3.42
Pb  0.2761  0.7500  0.8622  4 Na 3.08-3.26, 5 Y 3.20-3.42
Pb  0.7239  0.2500  0.1378  4 Na 3.08-3.26, 5 Y 3.20-3.42
Pb  0.7761  0.7500  0.6378  4 Na 3.08-3.26, 5 Y 3.20-3.42

## Properties
volume	28.797	Å³ per atom


#B
VASP calculation (PBE) on crystalline NaYPb at its relaxed geometry.

abc: 5.8370 5.8370 11.7847
angles: 90.00 90.00 120.00
Closest atoms and distances in Å follow each position.
Fractional coordinates of all 6 atoms:
Na  0.3333  0.6667  0.2500  3 Y 3.37
Na  0.6667  0.3333  0.7500  3 Y 3.37
Y  0.0000  0.0000  0.2500  2 Pb 2.95
Y  0.0000  0.0000  0.7500  2 Pb 2.95
Pb  0.0000  0.0000  0.0000  2 Y 2.95
Pb  0.0000  0.0000  0.5000  2 Y 2.95

## Properties
volume	57.952	Å³ per atom


#C
VASP calculation (PBE) on crystalline NaYPb at its relaxed geometry.

abc: 4.4839 4.4839 8.7030
angles: 90.00 90.00 90.00
Closest atoms and distances in Å follow each position.
Fractional coordinates of all 6 atoms:
Na  0.2500  0.7500  0.0000  4 Na 3.17, 4 Pb 3.29
Na  0.7500  0.2500  0.0000  4 Na 3.17, 4 Pb 3.29
Y  0.2500  0.2500  0.3628  5 Pb 3.14-3.26
Y  0.7500  0.7500  0.6372  5 Pb 3.14-3.26
Pb  0.2500  0.2500  0.7234  5 Y 3.14-3.26, 4 Na 3.29
Pb  0.7500  0.7500  0.2766  5 Y 3.14-3.26, 4 Na 3.29

## Properties
volume	29.163	Å³ per atom


#C is favored, and the nearest alternative lies 1.3 kJ/mol of atoms above it.


#A
VASP calculation (PBE) on crystalline NaYPb at its relaxed geometry.

abc: 5.2269 5.2269 3.5766
angles: 90.00 90.00 120.00
Closest atoms and distances in Å follow each position.
Fractional coordinates of all 3 atoms:
Na  0.0000  0.0000  0.0000  3 Pb 3.08, 3 Y 3.41
Y  0.3333  0.6667  0.5555  3 Pb 3.32, 6 Na 3.41-3.61, 2 Y 3.58
Pb  0.6667  0.3333  0.1693  3 Na 3.08, 3 Y 3.32

## Properties
volume	28.207	Å³ per atom


#B
VASP calculation (PBE) on crystalline NaYPb at its relaxed geometry.

abc: 5.4677 5.4677 6.5029
angles: 90.00 90.00 120.00
Closest atoms and distances in Å follow each position.
Fractional coordinates of all 6 atoms:
Na  0.0000  0.0000  0.0000  2 Na 3.25, 6 Pb 3.55, 6 Y 3.55
Na  0.0000  0.0000  0.5000  2 Na 3.25, 6 Pb 3.55, 6 Y 3.55
Y  0.3333  0.6667  0.2500  5 Pb 3.16-3.25
Y  0.6667  0.3333  0.7500  5 Pb 3.16-3.25
Pb  0.3333  0.6667  0.7500  5 Y 3.16-3.25
Pb  0.6667  0.3333  0.2500  5 Y 3.16-3.25

## Properties
volume	28.066	Å³ per atom


#B is favored, and the nearest alternative lies 18.2 kJ/mol of atoms above it.